Record 1
Y3Ho3Tm5: optimized geometry, PBE-GGA.

Cell lengths 9.5716, 9.5716, 5.4770 Å; angles 90.00, 90.00, 120.00 degrees
Space group P-62m (No. 189)
Inequivalent atoms, fractional coordinates:
Y: 0.0000 0.7402 0.0000 (multiplicity 3)
Ho: 0.0000 0.5438 0.5000 (multiplicity 3)
Tm: 0.0000 0.3763 0.0000 (multiplicity 3)
Tm: 0.3333 0.6667 0.0000 (multiplicity 2)

energy of formation from the pure elements	0.829	eV per atom

Record 2
Pa2TeP: optimized geometry, PBE-GGA.

Cell lengths 3.546, 3.546, 7.226 Å; angles 90.00, 90.00, 90.00 degrees
Space group P4/mmm (No. 123)
Inequivalent atoms, fractional coordinates:
Pa: 0.000 0.000 0.225 (multiplicity 2)
Te: 0.500 0.500 0.500 (multiplicity 1)
P: 0.500 0.500 0.000 (multiplicity 1)

energy relative to the lowest polymorph listed for this composition	95	kJ/mol of formula units
formation energy (no corrections)	-0.78	eV/atom

Record 3
LiReNiOs: optimized geometry, PBE-GGA.

Cell lengths 5.931, 5.931, 5.931 Å; angles 90.00, 90.00, 90.00 degrees
Space group F-43m (No. 216)
Inequivalent atoms, fractional coordinates:
Li: 0.000 0.000 0.000 (multiplicity 4)
Re: 0.000 0.000 0.500 (multiplicity 4)
Ni: 0.250 0.250 0.750 (multiplicity 4)
Os: 0.250 0.250 0.250 (multiplicity 4)

energy of formation from the pure elements	0.113	eV per atom

Record 4
La2ZrAlCr: optimized geometry, PBE-GGA.

Cell lengths 5.083, 5.083, 5.001 Å; angles 90.00, 90.00, 90.00 degrees
Space group P4/mmm (No. 123)
Inequivalent atoms, fractional coordinates:
La: 0.000 0.500 0.000 (multiplicity 2)
Zr: 0.000 0.000 0.500 (multiplicity 1)
Al: 0.500 0.500 0.500 (multiplicity 1)
Cr: 0.500 0.500 0.000 (multiplicity 1)

energy of formation from the pure elements	0.522	eV per atom